Record 1
The following is a PBE calculation of crystalline NaP2RhSe8 at its relaxed geometry, from Alexandria via LeMat-Bulk.

Cell lengths 5.9466, 5.9466, 9.6862 Å; angles 90.00, 90.00, 120.00 degrees
Space group P-3 (No. 147)
Inequivalent atoms, fractional coordinates:
Na1 0.0000 0.0000 0.0000 (multiplicity 1)
P1 0.3333 0.6667 0.7285 (multiplicity 2)
Rh1 0.0000 0.0000 0.5000 (multiplicity 1)
Se1 0.0471 0.6974 0.3381 (multiplicity 6)
Se2 0.3333 0.6667 0.9537 (multiplicity 2)

Values from the calculation:
Volume   296.6 Å³/cell
ΔE_f (raw)   -188 kJ/mol of formula units


Record 2
The following is a PBE calculation of crystalline Pm2Mg6Zn3 at its relaxed geometry, from Alexandria via LeMat-Bulk.

Cell lengths 8.3197, 8.3197, 4.3232 Å; angles 90.00, 90.00, 120.00 degrees
Space group P-62m (No. 189)
Inequivalent atoms, fractional coordinates:
Pm1 0.3333 0.6667 0.0000 (multiplicity 2)
Mg1 0.0000 0.2085 0.0000 (multiplicity 3)
Mg2 0.0000 0.7098 0.5000 (multiplicity 3)
Zn1 0.0000 0.3938 0.5000 (multiplicity 3)

Values from the calculation:
Volume   259.2 Å³/cell
Energy relative to the elements   -0.104 eV per atom


no.,DFT total energy (eV/cell)
1,-49.312
2,-24.038